PBE CeCuH2Cl8, optimized geometry; electronic total energy = -0.1360 Ha/atom; symmetry = P-1, No. 2
1.0
6.6211 0.0000 0.0000
0.1905 7.2090 0.0000
0.2840 0.4573 7.3812
Ce Cu H Cl
1 1 2 8
direct
0.0000 0.0000 0.0000
0.0000 0.0000 0.5000
0.2650 0.3301 0.6580
0.7350 0.6699 0.3420
0.1996 0.8511 0.7185
0.2090 0.8629 0.2851
0.2341 0.2803 0.9638
0.2653 0.3302 0.4815
0.7347 0.6698 0.5185
0.7659 0.7197 0.0362
0.7910 0.1371 0.7149
0.8004 0.1489 0.2815